1.
The following is a GGA-PBE calculation of a relaxed structure of NaYBeI2, from the Alexandria database.

## Properties
symmetry: P4/mmm (123)
energy: -15.114 eV per cell
DOS at the Fermi energy: 6.14 states/eV/f.u.
raw formation energy: -0.5 eV per formula unit
relative energy among the computed polymorphs: 0.0 kJ per mole of atoms

Cell and atoms, written as extended XYZ:
```
5
Lattice="6.0622 0.0000 0.0000 0.0000 6.0622 0.0000 0.0000 0.0000 5.3666" Properties=species:S:1:pos:R:3 pbc="T T T"
Na 0.0000 0.0000 0.0000
Y 3.0311 3.0311 2.6833
Be 3.0311 3.0311 0.0000
I 0.0000 3.0311 2.6833
I 3.0311 0.0000 2.6833
```

***

2.
The following is a GGA-PBE calculation of a relaxed structure of BeNbI, from the Alexandria database.

## Properties
symmetry: Pm (6)
energy: -31.277 eV per cell
DOS at the Fermi energy: 1.34 states/eV/f.u.
raw formation energy: -0.3 eV per formula unit
relative energy among the computed polymorphs: 2.4 kJ per mole of atoms

Cell and atoms, written as extended XYZ:
```
6
Lattice="3.7505 0.0000 0.0000 0.0000 3.5367 0.0000 -0.0473 0.0000 10.0319" Properties=species:S:1:pos:R:3 pbc="T T T"
Be 0.0000 0.0000 0.0000
Be 0.0004 1.7683 1.0448
Nb 1.8285 1.7683 9.4506
Nb 1.8758 0.0000 1.6836
I 0.0055 1.7683 3.5210
I 1.8291 0.0000 7.1604
```

***

3.
The following is a GGA-PBE calculation of a relaxed structure of BeNbI, from the Alexandria database.

## Properties
symmetry: Amm2 (38)
energy: -13.848 eV per cell
DOS at the Fermi energy: 1.95 states/eV/f.u.
raw formation energy: 1.5 eV per formula unit
relative energy among the computed polymorphs: 60.0 kJ per mole of atoms

Cell and atoms, written as extended XYZ:
```
3
Lattice="3.5648 0.0000 0.0000 0.0000 1.7469 4.9682 0.0000 -1.7469 4.9682" Properties=species:S:1:pos:R:3 pbc="T T T"
Be 0.0000 0.0000 0.0000
Nb 1.7824 0.0000 4.4920
I 1.7824 0.0000 7.3032
```

***

4.
The following is a GGA-PBE calculation of a relaxed structure of BeNbI, from the Alexandria database.

## Properties
symmetry: I4mm (107)
energy: -13.777 eV per cell
DOS at the Fermi energy: 2.26 states/eV/f.u.
raw formation energy: 1.6 eV per formula unit
relative energy among the computed polymorphs: 62.3 kJ per mole of atoms

Cell and atoms, written as extended XYZ:
```
3
Lattice="-1.7070 1.7070 4.5160 1.7070 -1.7070 4.5160 1.7070 1.7070 -4.5160" Properties=species:S:1:pos:R:3 pbc="T T T"
Be 0.0000 0.0000 0.0000
Nb 0.0000 0.0000 5.5890
I 0.0000 0.0000 2.7652
```

***

5.
The following is a GGA-PBE calculation of a relaxed structure of BeNbI, from the Alexandria database.

## Properties
symmetry: P1 (1)
energy: -30.543 eV per cell
DOS at the Fermi energy: 1.48 states/eV/f.u.
raw formation energy: 0.1 eV per formula unit
relative energy among the computed polymorphs: 14.2 kJ per mole of atoms

Cell and atoms, written as extended XYZ:
```
6
Lattice="4.2082 0.0000 0.0000 2.1036 3.6668 0.0000 2.0054 0.6465 10.0943" Properties=species:S:1:pos:R:3 pbc="T T T"
Be 0.0000 0.0000 0.0000
Be 4.1098 1.7375 8.6784
Nb 2.1037 1.2011 0.9872
Nb 6.2130 3.0814 9.7056
I 4.2074 2.4280 2.8086
I 6.2074 3.6779 6.9118
```

***

6.
The following is a GGA-PBE calculation of a relaxed structure of BeNbI, from the Alexandria database.

## Properties
symmetry: Cm (8)
energy: -30.575 eV per cell
DOS at the Fermi energy: 0.58 states/eV/f.u.
raw formation energy: 0.1 eV per formula unit
relative energy among the computed polymorphs: 13.7 kJ per mole of atoms

Cell and atoms, written as extended XYZ:
```
6
Lattice="3.1416 -1.8150 0.0000 3.1416 1.8150 0.0000 -2.1738 0.0000 11.5775" Properties=species:S:1:pos:R:3 pbc="T T T"
Be 0.0000 0.0000 0.0000
Be 4.1893 0.0000 2.7041
Nb 2.0942 0.0000 1.2011
Nb 2.0144 0.0000 10.3276
I -0.0802 0.0000 8.3893
I 2.0941 0.0000 4.1608
```

***

7.
The following is a GGA-PBE calculation of a relaxed structure of BeNbI3, from the Alexandria database.

## Properties
symmetry: Pm-3m (221)
energy: -15.477 eV per cell
DOS at the Fermi energy: 3.97 states/eV/f.u.
raw formation energy: 3.0 eV per formula unit
relative energy among the computed polymorphs: 0.0 kJ per mole of atoms

Cell and atoms, written as extended XYZ:
```
5
Lattice="5.6903 0.0000 0.0000 0.0000 5.6903 0.0000 0.0000 0.0000 5.6903" Properties=species:S:1:pos:R:3 pbc="T T T"
Be 0.0000 0.0000 0.0000
Nb 2.8451 2.8451 2.8451
I 0.0000 2.8451 2.8451
I 2.8451 0.0000 2.8451
I 2.8451 2.8451 0.0000
```

***

8.
The following is a GGA-PBE calculation of a relaxed structure of BeNbI, from the Alexandria database.

## Properties
symmetry: I-4m2 (119)
energy: -14.039 eV per cell
DOS at the Fermi energy: 0.88 states/eV/f.u.
raw formation energy: 1.3 eV per formula unit
relative energy among the computed polymorphs: 53.9 kJ per mole of atoms

Cell and atoms, written as extended XYZ:
```
3
Lattice="-1.7791 1.7791 4.5117 1.7791 -1.7791 4.5117 1.7791 1.7791 -4.5117" Properties=species:S:1:pos:R:3 pbc="T T T"
Be 0.0000 0.0000 0.0000
Nb 0.0000 0.0000 4.5117
I 0.0000 1.7791 2.2558
```

***

9.
The following is a GGA-PBE calculation of a relaxed structure of Be3NbI, from the Alexandria database.

## Properties
symmetry: Pm-3m (221)
energy: -13.008 eV per cell
DOS at the Fermi energy: 3.95 states/eV/f.u.
raw formation energy: 9.8 eV per formula unit
relative energy among the computed polymorphs: 32.2 kJ per mole of atoms

Cell and atoms, written as extended XYZ:
```
5
Lattice="4.5568 0.0000 0.0000 0.0000 4.5568 0.0000 0.0000 0.0000 4.5568" Properties=species:S:1:pos:R:3 pbc="T T T"
Be 0.0000 0.0000 2.2784
Be 0.0000 2.2784 0.0000
Be 2.2784 0.0000 0.0000
Nb 2.2784 2.2784 2.2784
I 0.0000 0.0000 0.0000
```

***

10.
The following is a GGA-PBE calculation of a relaxed structure of BeNb3I, from the Alexandria database.

## Properties
symmetry: Pm-3m (221)
energy: -25.402 eV per cell
DOS at the Fermi energy: 7.64 states/eV/f.u.
raw formation energy: 10.1 eV per formula unit
relative energy among the computed polymorphs: 111.8 kJ per mole of atoms

Cell and atoms, written as extended XYZ:
```
5
Lattice="4.9911 0.0000 0.0000 0.0000 4.9911 0.0000 0.0000 0.0000 4.9911" Properties=species:S:1:pos:R:3 pbc="T T T"
Be 0.0000 0.0000 0.0000
Nb 0.0000 2.4955 2.4955
Nb 2.4955 0.0000 2.4955
Nb 2.4955 2.4955 0.0000
I 2.4955 2.4955 2.4955
```

***

11.
The following is a GGA-PBE calculation of a relaxed structure of BeNbI, from the Alexandria database.

## Properties
symmetry: Cm (8)
energy: -30.611 eV per cell
DOS at the Fermi energy: 0.79 states/eV/f.u.
raw formation energy: 0.0 eV per formula unit
relative energy among the computed polymorphs: 13.1 kJ per mole of atoms

Cell and atoms, written as extended XYZ:
```
6
Lattice="3.1767 -1.8334 0.0000 3.1767 1.8334 0.0000 -2.1841 0.0000 11.2888" Properties=species:S:1:pos:R:3 pbc="T T T"
Be 0.0000 0.0000 0.0000
Be 0.0068 0.0000 2.5937
Nb 2.1187 0.0000 1.1328
Nb 2.0515 0.0000 10.0926
I -0.0655 0.0000 8.1379
I 2.1208 0.0000 4.0625
```

***

12.
The following is a GGA-PBE calculation of a relaxed structure of BeNbI, from the Alexandria database.

## Properties
symmetry: P1 (1)
energy: -30.544 eV per cell
raw formation energy: 0.1 eV per formula unit
relative energy among the computed polymorphs: 14.2 kJ per mole of atoms

Cell and atoms, written as extended XYZ:
```
6
Lattice="3.8938 0.0000 0.0000 1.9469 3.4132 0.0000 0.1558 0.4002 10.8202" Properties=species:S:1:pos:R:3 pbc="T T T"
Be 0.0000 0.0000 0.0000
Be 1.9472 3.3892 2.1199
Nb 2.1025 1.5377 9.7833
Nb 3.8940 2.2620 0.7582
I 0.1558 0.3606 7.7897
I 3.8930 2.6998 3.6555
```

***

13.
The following is a GGA-PBE calculation of a relaxed structure of BeNbI3, from the Alexandria database.

## Properties
symmetry: Pm-3m (221)
energy: -14.887 eV per cell
DOS at the Fermi energy: 5.95 states/eV/f.u.
raw formation energy: 3.6 eV per formula unit
relative energy among the computed polymorphs: 11.4 kJ per mole of atoms

Cell and atoms, written as extended XYZ:
```
5
Lattice="5.2238 0.0000 0.0000 0.0000 5.2238 0.0000 0.0000 0.0000 5.2238" Properties=species:S:1:pos:R:3 pbc="T T T"
Be 0.0000 0.0000 0.0000
Nb 2.6119 2.6119 2.6119
I 0.0000 0.0000 2.6119
I 0.0000 2.6119 0.0000
I 2.6119 0.0000 0.0000
```

***

14.
The following is a GGA-PBE calculation of a relaxed structure of BeNbI2, from the Alexandria database.

## Properties
symmetry: Fm-3m (225)
energy: -13.690 eV per cell
DOS at the Fermi energy: 2.09 states/eV/f.u.
raw formation energy: 3.2 eV per formula unit
relative energy among the computed polymorphs: 0.0 kJ per mole of atoms

Cell and atoms, written as extended XYZ:
```
4
Lattice="0.0000 3.4726 3.4726 3.4726 0.0000 3.4726 3.4726 3.4726 0.0000" Properties=species:S:1:pos:R:3 pbc="T T T"
Be 0.0000 0.0000 0.0000
Nb 3.4726 3.4726 3.4726
I 1.7363 1.7363 1.7363
I 5.2089 5.2089 5.2089
```

***

15.
The following is a GGA-PBE calculation of a relaxed structure of Be3NbI, from the Alexandria database.

## Properties
symmetry: Pm-3m (221)
energy: -14.674 eV per cell
DOS at the Fermi energy: 3.75 states/eV/f.u.
raw formation energy: 8.1 eV per formula unit
relative energy among the computed polymorphs: 0.0 kJ per mole of atoms

Cell and atoms, written as extended XYZ:
```
5
Lattice="4.6776 0.0000 0.0000 0.0000 4.6776 0.0000 0.0000 0.0000 4.6776" Properties=species:S:1:pos:R:3 pbc="T T T"
Be 0.0000 0.0000 2.3388
Be 0.0000 2.3388 0.0000
Be 2.3388 0.0000 0.0000
Nb 0.0000 0.0000 0.0000
I 2.3388 2.3388 2.3388
```

***

16.
The following is a GGA-PBE calculation of a relaxed structure of BeNbI, from the Alexandria database.

## Properties
symmetry: P1 (1)
energy: -30.522 eV per cell
DOS at the Fermi energy: 0.75 states/eV/f.u.
raw formation energy: 0.1 eV per formula unit
relative energy among the computed polymorphs: 14.6 kJ per mole of atoms

Cell and atoms, written as extended XYZ:
```
6
Lattice="3.6975 0.0000 0.0000 -1.8482 4.2437 0.0000 -1.6914 -0.7446 9.6385" Properties=species:S:1:pos:R:3 pbc="T T T"
Be 0.0000 0.0000 0.0000
Be 0.0005 3.3477 0.9221
Nb 0.0009 0.0282 2.3756
Nb 1.8483 1.6669 1.1218
I 0.1586 -0.0780 8.0065
I 1.8499 1.6665 4.0741
```

***

17.
The following is a GGA-PBE calculation of a relaxed structure of BeNbI, from the Alexandria database.

## Properties
symmetry: P-1 (2)
energy: -31.427 eV per cell
DOS at the Fermi energy: 1.27 states/eV/f.u.
raw formation energy: -0.4 eV per formula unit
relative energy among the computed polymorphs: 0.0 kJ per mole of atoms

Cell and atoms, written as extended XYZ:
```
6
Lattice="3.6181 0.0000 0.0000 0.0012 3.8084 0.0000 0.3285 1.8771 9.9554" Properties=species:S:1:pos:R:3 pbc="T T T"
Be 0.8849 1.9038 0.5491
Be 3.0629 3.7818 9.4064
Nb 1.2873 1.8772 8.9145
Nb 2.6605 3.8084 1.0409
I 1.1827 1.9070 3.0085
I 2.7650 3.7786 6.9469
```

***

18.
The following is a GGA-PBE calculation of a relaxed structure of BeNb3I, from the Alexandria database.

## Properties
symmetry: Pm-3m (221)
energy: -31.194 eV per cell
DOS at the Fermi energy: 5.41 states/eV/f.u.
raw formation energy: 4.3 eV per formula unit
relative energy among the computed polymorphs: 0.0 kJ per mole of atoms

Cell and atoms, written as extended XYZ:
```
5
Lattice="4.5416 0.0000 0.0000 0.0000 4.5416 0.0000 0.0000 0.0000 4.5416" Properties=species:S:1:pos:R:3 pbc="T T T"
Be 0.0000 0.0000 0.0000
Nb 0.0000 0.0000 2.2708
Nb 0.0000 2.2708 0.0000
Nb 2.2708 0.0000 0.0000
I 2.2708 2.2708 2.2708
```

***

19.
The following is a GGA-PBE calculation of a relaxed structure of BeNbI2, from the Alexandria database.

## Properties
symmetry: I-42d (122)
energy: -27.002 eV per cell
DOS at the Fermi energy: 2.80 states/eV/f.u.
raw formation energy: 3.4 eV per formula unit
relative energy among the computed polymorphs: 4.5 kJ per mole of atoms

Cell and atoms, written as extended XYZ:
```
8
Lattice="-3.0898 3.0898 5.5425 3.0898 -3.0898 5.5425 3.0898 3.0898 -5.5425" Properties=species:S:1:pos:R:3 pbc="T T T"
Be 0.0000 0.0000 0.0000
Be 0.0000 3.0898 2.7712
Nb 3.0898 0.0000 2.7712
Nb 0.0000 0.0000 5.5425
I 4.6346 1.2568 -1.3856
I 1.2568 1.5449 1.3856
I -1.5449 1.8329 4.1568
I 1.8329 1.5449 6.9281
```

***

20.
The following is a GGA-PBE calculation of a relaxed structure of BeNbI, from the Alexandria database.

## Properties
symmetry: Cm (8)
energy: -30.363 eV per cell
DOS at the Fermi energy: 1.07 states/eV/f.u.
raw formation energy: 0.2 eV per formula unit
relative energy among the computed polymorphs: 17.1 kJ per mole of atoms

Cell and atoms, written as extended XYZ:
```
6
Lattice="3.9560 -1.8344 0.0000 3.9560 1.8344 0.0000 -0.3678 0.0000 10.1749" Properties=species:S:1:pos:R:3 pbc="T T T"
Be 0.0000 0.0000 0.0000
Be 4.3569 0.0000 9.0838
Nb 1.9964 0.0000 9.3972
Nb 5.4398 0.0000 1.1651
I 2.8687 0.0000 3.0411
I 5.4962 0.0000 7.0134
```